(1)
## FeBC2F (PBE+U)

Data for a relaxed structure of FeBC2F.

a b c (Å): 3.943 3.842 3.943
angles (deg): 90.00 90.00 90.00
Element x y z (fractional)
C 0.000 0.000 0.500
C 0.500 0.000 0.000
B 0.500 0.500 0.500
Fe 0.000 0.500 0.000
F 0.000 0.000 0.000

Total energy (eV per cell): -18.8
Space group: P4/mmm (123)

(2)
## FeB2C6O6F8 (PBE+U)

Data for a relaxed structure of FeB2C6O6F8.

a b c (Å): 7.760 7.760 7.760
angles (deg): 121.04 121.04 88.21
Element x y z (fractional)
Fe 0.500 0.500 0.000
B 0.250 0.750 0.500
B 0.750 0.250 0.500
C 0.673 0.673 0.000
C 0.704 0.353 0.057
C 0.353 0.296 0.649
C 0.327 0.327 0.000
C 0.296 0.647 0.943
C 0.647 0.704 0.351
O 0.226 0.226 0.000
O 0.735 0.824 0.559
O 0.176 0.735 0.912
O 0.824 0.265 0.088
O 0.265 0.176 0.441
O 0.774 0.774 0.000
F 0.741 0.313 0.702
F 0.259 0.687 0.298
F 0.961 0.259 0.572
F 0.388 0.961 0.702
F 0.313 0.612 0.572
F 0.039 0.741 0.428
F 0.612 0.039 0.298
F 0.687 0.388 0.428

Total energy (eV per cell): -153.3
Space group: I4/m (87)

| no. | V (Å³ per atom) |
| --- | --- |
| 1 | 11.947 |
| 2 | 14.133 |